No. 1
# NaBeCoGe PBE optimized geometry
data_NaBeCoGe
_cell_length_a 3.9652
_cell_length_b 3.9652
_cell_length_c 15.8640
_cell_angle_alpha 90.00
_cell_angle_beta 90.00
_cell_angle_gamma 120.00
_symmetry_space_group_name_H-M 'R 3 m'
_symmetry_Int_Tables_number 160
_symmetry_space_group_name_Hall 'R 3 -2"'
loop_
_atom_site_label
_atom_site_type_symbol
_atom_site_fract_x
_atom_site_fract_y
_atom_site_fract_z
Na1 Na 0.0000 0.0000 0.0000
Be1 Be 0.0000 0.0000 0.1759
Co1 Co 0.0000 0.0000 0.8214
Ge1 Ge 0.0000 0.0000 0.4957
# **Relative energy among the computed polymorphs**: 4.7 meV/atom
# **Crystal system**: trigonal
# **Formation energy from the elements**: 0.006 eV per atom
# **Raw total energy**: -50.2 eV for the cell shown
# **Density of states at the Fermi level**: 0.5945 states/eV per atom



No. 2
# ZrHgTeO5 PBE optimized geometry
data_ZrHgTeO5
_cell_length_a 7.2488
_cell_length_b 10.2816
_cell_length_c 7.6157
_cell_angle_alpha 90.00
_cell_angle_beta 111.71
_cell_angle_gamma 90.00
_symmetry_space_group_name_H-M 'C 1 2/c 1'
_symmetry_Int_Tables_number 15
_symmetry_space_group_name_Hall '-C 2yc'
loop_
_atom_site_label
_atom_site_type_symbol
_atom_site_fract_x
_atom_site_fract_y
_atom_site_fract_z
Zr1 Zr 0.2500 0.2500 0.0000
Hg1 Hg 0.0000 0.0435 0.2500
Te1 Te 0.0000 0.4865 0.2500
O1 O 0.0000 0.2227 0.7500
O2 O 0.0496 0.3602 0.0887
O3 O 0.1931 0.0610 0.1046
# **Formation energy (no corrections)**: -1574 meV per atom
# **Crystal system**: monoclinic
# **Raw total energy**: -197.5 eV for the cell shown
# **Density of states at the Fermi level**: 0.0000 states/eV per atom



No. 3
# TaAs3C PBE optimized geometry
data_TaAs3C
_cell_length_a 4.2926
_cell_length_b 4.2926
_cell_length_c 4.2926
_cell_angle_alpha 90.00
_cell_angle_beta 90.00
_cell_angle_gamma 90.00
_symmetry_space_group_name_H-M 'P m -3 m'
_symmetry_Int_Tables_number 221
_symmetry_space_group_name_Hall '-P 4 2 3'
loop_
_atom_site_label
_atom_site_type_symbol
_atom_site_fract_x
_atom_site_fract_y
_atom_site_fract_z
Ta1 Ta 0.0000 0.0000 0.0000
As1 As 0.0000 0.5000 0.5000
C1 C 0.5000 0.5000 0.5000
# **Relative energy among the computed polymorphs**: 0.0 meV/atom
# **Crystal system**: cubic
# **Formation energy from the elements**: 1.041 eV per atom
# **Raw total energy**: -29.8 eV for the cell shown
# **Density of states at the Fermi level**: 0.5505 states/eV per atom



No. 4
# Sc6Al3Au PBE optimized geometry
data_Sc6Al3Au
_cell_length_a 8.3883
_cell_length_b 4.8390
_cell_length_c 10.7376
_cell_angle_alpha 90.00
_cell_angle_beta 109.06
_cell_angle_gamma 90.00
_symmetry_space_group_name_H-M 'P 1 21/m 1'
_symmetry_Int_Tables_number 11
_symmetry_space_group_name_Hall '-P 2yb'
loop_
_atom_site_label
_atom_site_type_symbol
_atom_site_fract_x
_atom_site_fract_y
_atom_site_fract_z
Sc1 Sc 0.0388 0.2500 0.4199
Sc2 Sc 0.1595 0.7500 0.1632
Sc3 Sc 0.2547 0.2500 0.0025
Sc4 Sc 0.3389 0.7500 0.7996
Sc5 Sc 0.3562 0.2500 0.3307
Sc6 Sc 0.3995 0.2500 0.6224
Al1 Al 0.0261 0.7500 0.8701
Al2 Al 0.1098 0.2500 0.7160
Al3 Al 0.2706 0.7500 0.4688
Au1 Au 0.4616 0.7500 0.1103
# **Crystal system**: monoclinic
# **Formation energy from the elements**: -0.430 eV per atom
# **Raw total energy**: -113.6 eV for the cell shown
# **Density of states at the Fermi level**: 0.9576 states/eV per atom